BaHoIn2Au4: relaxed, GGA-PBE.

Properties
As for the space-group type: R-3m (166). The final energy comes out at -29.88 eV per cell. The energy of formation comes out at -0.60 eV per atom.

Cell: 9.923 9.923 9.923 Å, 28.61 28.61 28.61°
Sites, in units of the cell vectors:
Ba  0.000  0.000  0.000
Ho  0.500  0.500  0.500
In  0.240  0.240  0.240
In  0.760  0.760  0.760
Au  0.129  0.129  0.129
Au  0.399  0.399  0.399
Au  0.601  0.601  0.601
Au  0.871  0.871  0.871